TaTe3: optimized geometry, PBE.

Cell and atoms, written as POSCAR:
```
TaTe3
1.0
4.659 0.000 0.000
0.000 4.659 0.000
0.000 0.000 4.659
Ta Te
1 3
Cartesian
0.000 0.000 0.000
0.000 2.329 2.329
2.329 2.329 0.000
2.329 0.000 2.329
```

Summary:
- space-group type = Pm-3m
- final energy (eV for the cell shown) = -17.9
- energy relative to the elements, uncorrected (eV per atom) = 0.854
- Fermi-level density of states (states/eV per atom) = 0.973